1.
# PBE Li2Pm3Cu9, relaxed
# Total DFT energy (no corrections) in eV/atom: -4.0708
data_Li2Pm3Cu9
_space_group_name_H-M_alt 'I m m m'
_space_group_IT_number 71
_space_group_name_Hall '-I 2 2'
_cell_length_a 4.290
_cell_length_b 8.717
_cell_length_c 12.698
_cell_angle_alpha 90.00
_cell_angle_beta 90.00
_cell_angle_gamma 90.00
loop_
_atom_site_label
_atom_site_fract_x
_atom_site_fract_y
_atom_site_fract_z
Li1 0.000 0.194 0.000
Pm1 0.000 0.000 0.208
Pm2 0.000 0.000 0.500
Cu1 0.000 0.286 0.372
Cu2 0.000 0.354 0.167
Cu3 0.000 0.500 0.500



2.
# PBE Li3PmCu3, relaxed
# Total DFT energy (no corrections) in eV/atom: -2.9084
data_Li3PmCu3
_space_group_name_H-M_alt 'P m -3 n'
_space_group_IT_number 223
_space_group_name_Hall '-P 4n 2 3'
_cell_length_a 6.404
_cell_length_b 6.404
_cell_length_c 6.404
_cell_angle_alpha 90.00
_cell_angle_beta 90.00
_cell_angle_gamma 90.00
loop_
_atom_site_label
_atom_site_fract_x
_atom_site_fract_y
_atom_site_fract_z
Li1 0.000 0.250 0.500
Pm1 0.000 0.000 0.000
Cu1 0.000 0.500 0.250



3.
# PBE LiPmCu, relaxed
# Energy relative to the lowest polymorph listed for this composition in meV/atom: 0
data_LiPmCu
_space_group_name_H-M_alt 'A m m 2'
_space_group_IT_number 38
_space_group_name_Hall 'A 2 -2'
_cell_length_a 4.009
_cell_length_b 12.815
_cell_length_c 7.435
_cell_angle_alpha 90.00
_cell_angle_beta 90.00
_cell_angle_gamma 90.00
loop_
_atom_site_label
_atom_site_fract_x
_atom_site_fract_y
_atom_site_fract_z
Li1 0.000 0.000 0.000
Li2 0.000 0.116 0.348
Pm1 0.500 0.000 0.647
Pm2 0.500 0.207 0.024
Cu1 0.000 0.167 0.732
Cu2 0.500 0.000 0.232